This record from the Alexandria database describes a geometry-optimized AgP2Se structure. The functional is PBE.

DOS(E_F) = 0.72 states/eV per atom
ΔE_f (raw) = 0.4997 eV/atom
volume = 78 Å³ per cell

abc: 2.7511 5.1202 5.5704
angles: 90.00 90.00 90.00
With the nearest neighbours (Å) after each atom.
Space group Pmmm (No. 47)
One atom of each set of equivalent atoms:
1 Ag 0.0000 0.0000 0.0000 (multiplicity 1)  2 Ag 2.75, 2 Se 2.79
2 P 0.5000 0.5000 0.1882 (multiplicity 2)  1 P 2.10
3 Se 0.0000 0.0000 0.5000 (multiplicity 1)  2 Se 2.75, 2 Ag 2.79